1.
Compound: Tb3HPb2
Source: Alexandria
Functional: GGA-PBE
Structure: relaxed

Density   9.59 g/cm³
Density of states at the Fermi level   14.792 states/eV/cell
Size of the total moment   0.00 μB per cell
Total DFT energy (no corrections)   -109.192 eV/cell
Crystal system   monoclinic

Structure (CIF):
```
data_Tb3HPb2
_chemical_formula_sum 'Tb12 H4 Pb8'
_space_group_name_H-M_alt 'C 1 2/c 1'
_space_group_IT_number 15
_cell_length_a 11.559
_cell_length_b 6.326
_cell_length_c 8.769
_cell_angle_alpha 90.00
_cell_angle_beta 105.50
_cell_angle_gamma 90.00
loop_
_space_group_symop_operation_xyz
'x,y,z'
'-x,-y,-z'
'-x,y,-z+1/2'
'x,-y,z+1/2'
'x+1/2,y+1/2,z'
'-x+1/2,-y+1/2,-z'
'-x+1/2,y+1/2,-z+1/2'
'x+1/2,-y+1/2,z+1/2'
loop_
_atom_site_label
_atom_site_type_symbol
_atom_site_fract_x
_atom_site_fract_y
_atom_site_fract_z
Tb1 Tb 0.000 0.164 0.250
Tb2 Tb 0.144 0.378 0.655
H1 H 0.000 0.499 0.750
Pb1 Pb 0.142 0.124 0.005
```

2.
Compound: Tb5HPb4
Source: Alexandria
Functional: GGA-PBE
Structure: relaxed

Density   9.19 g/cm³
Density of states at the Fermi level   13.706 states/eV/cell
Size of the total moment   0.00 μB per cell
Total DFT energy (no corrections)   -88.451 eV/cell
Crystal system   tetragonal

Structure (CIF):
```
data_Tb5HPb4
_chemical_formula_sum 'Tb10 H2 Pb8'
_space_group_name_H-M_alt 'I 4'
_space_group_IT_number 79
_cell_length_a 9.680
_cell_length_b 9.680
_cell_length_c 6.265
_cell_angle_alpha 90.00
_cell_angle_beta 90.00
_cell_angle_gamma 90.00
loop_
_space_group_symop_operation_xyz
'x,y,z'
'-y,x,z'
'-x,-y,z'
'y,-x,z'
'x+1/2,y+1/2,z+1/2'
'-y+1/2,x+1/2,z+1/2'
'-x+1/2,-y+1/2,z+1/2'
'y+1/2,-x+1/2,z+1/2'
loop_
_atom_site_label
_atom_site_type_symbol
_atom_site_fract_x
_atom_site_fract_y
_atom_site_fract_z
Tb1 Tb 0.000 0.000 0.000
Tb2 Tb 0.098 0.718 0.561
H1 H 0.000 0.000 0.629
Pb1 Pb 0.091 0.697 0.064
```

3.
Compound: Tb5HPb2
Source: Alexandria
Functional: GGA-PBE
Structure: relaxed

Density   9.14 g/cm³
Density of states at the Fermi level   18.128 states/eV/cell
Size of the total moment   0.00 μB per cell
Total DFT energy (no corrections)   -72.097 eV/cell
Crystal system   tetragonal

Structure (CIF):
```
data_Tb5HPb2
_chemical_formula_sum 'Tb10 H2 Pb4'
_space_group_name_H-M_alt 'I 4 m m'
_space_group_IT_number 107
_space_group_name_Hall 'I 4 -2'
_cell_length_a 6.983
_cell_length_b 6.983
_cell_length_c 9.021
_cell_angle_alpha 90.00
_cell_angle_beta 90.00
_cell_angle_gamma 90.00
loop_
_atom_site_label
_atom_site_type_symbol
_atom_site_fract_x
_atom_site_fract_y
_atom_site_fract_z
Tb1 Tb 0.000 0.000 0.000
Tb2 Tb 0.250 0.250 0.255
H1 H 0.000 0.000 0.750
Pb1 Pb 0.000 0.500 0.004
```

4.
Compound: Tb5H2Pb5
Source: Alexandria
Functional: GGA-PBE
Structure: relaxed

Density   10.27 g/cm³
Density of states at the Fermi level   10.519 states/eV/cell
Size of the total moment   0.00 μB per cell
Total DFT energy (no corrections)   -107.906 eV/cell
Crystal system   monoclinic

Structure (CIF):
```
data_Tb5H2Pb5
_chemical_formula_sum 'Tb10 H4 Pb10'
_space_group_name_H-M_alt 'C 1 2/m 1'
_space_group_IT_number 12
_cell_length_a 11.521
_cell_length_b 4.432
_cell_length_c 11.619
_cell_angle_alpha 90.00
_cell_angle_beta 92.83
_cell_angle_gamma 90.00
loop_
_space_group_symop_operation_xyz
'x,y,z'
'-x,-y,-z'
'-x,y,-z'
'x,-y,z'
'x+1/2,y+1/2,z'
'-x+1/2,-y+1/2,-z'
'-x+1/2,y+1/2,-z'
'x+1/2,-y+1/2,z'
loop_
_atom_site_label
_atom_site_type_symbol
_atom_site_fract_x
_atom_site_fract_y
_atom_site_fract_z
Tb1 Tb 0.000 0.000 0.000
Tb2 Tb 0.066 0.000 0.316
Tb3 Tb 0.150 0.500 0.814
H1 H 0.075 0.000 0.825
Pb1 Pb 0.000 0.500 0.500
Pb2 Pb 0.150 0.500 0.121
Pb3 Pb 0.222 0.000 0.611
```

5.
Compound: Tb2H3Pb
Source: Alexandria
Functional: GGA-PBE
Structure: relaxed

Density   9.06 g/cm³
Density of states at the Fermi level   4.684 states/eV/cell
Size of the total moment   0.00 μB per cell
Total DFT energy (no corrections)   -106.565 eV/cell
Crystal system   monoclinic

Structure (CIF):
```
data_Tb2H3Pb
_chemical_formula_sum 'Tb8 H12 Pb4'
_space_group_name_H-M_alt 'C 1 2/m 1'
_space_group_IT_number 12
_cell_length_a 14.653
_cell_length_b 3.716
_cell_length_c 7.680
_cell_angle_alpha 90.00
_cell_angle_beta 112.21
_cell_angle_gamma 90.00
loop_
_space_group_symop_operation_xyz
'x,y,z'
'-x,-y,-z'
'-x,y,-z'
'x,-y,z'
'x+1/2,y+1/2,z'
'-x+1/2,-y+1/2,-z'
'-x+1/2,y+1/2,-z'
'x+1/2,-y+1/2,z'
loop_
_atom_site_label
_atom_site_type_symbol
_atom_site_fract_x
_atom_site_fract_y
_atom_site_fract_z
Tb1 Tb 0.029 0.000 0.274
Tb2 Tb 0.193 0.500 0.658
H1 H 0.065 0.500 0.409
H2 H 0.091 0.000 0.610
H3 H 0.190 0.000 0.468
Pb1 Pb 0.140 0.500 0.035
```

6.
Compound: Tb12H5Pb3
Source: Alexandria
Functional: GGA-PBE
Structure: relaxed

Density   8.59 g/cm³
Density of states at the Fermi level   114.175 states/eV/cell
Size of the total moment   0.00 μB per cell
Total DFT energy (no corrections)   -709.840 eV/cell
Crystal system   cubic

Structure (CIF):
```
data_Tb12H5Pb3
_chemical_formula_sum 'Tb96 H40 Pb24'
_space_group_name_H-M_alt 'I a -3 d'
_space_group_IT_number 230
_space_group_name_Hall '-I 4bd 2c 3'
_cell_length_a 15.762
_cell_length_b 15.762
_cell_length_c 15.762
_cell_angle_alpha 90.00
_cell_angle_beta 90.00
_cell_angle_gamma 90.00
loop_
_atom_site_label
_atom_site_type_symbol
_atom_site_fract_x
_atom_site_fract_y
_atom_site_fract_z
Tb1 Tb 0.043 0.054 0.650
H1 H 0.000 0.000 0.000
H2 H 0.000 0.250 0.375
Pb1 Pb 0.000 0.250 0.125
```

Q: Look up the density of the fifth one.
A: 9.06 g/cm³

Q: density of states at the Fermi level of number 5 (Tb2H3Pb)?
A: 4.684 states/eV/cell

Q: Number 2 is which compound?
A: Tb5HPb4

Q: What is the density in the fourth record?
A: 10.27 g/cm³